An optimized crystal structure of ZrTeSe4, computed with GGA-PBE.

abc: 6.756 6.762 6.854
angles: 90.00 91.21 90.00
Sites, in units of the cell vectors:
Zr 0.000 0.000 0.000
Zr 0.000 0.500 0.500
Te 0.500 0.000 0.500
Te 0.500 0.500 0.000
Se 0.130 0.155 0.659
Se 0.130 0.345 0.159
Se 0.349 0.635 0.639
Se 0.349 0.865 0.139
Se 0.651 0.135 0.861
Se 0.651 0.365 0.361
Se 0.870 0.655 0.841
Se 0.870 0.845 0.341

Values from the calculation:
The value obtained for the density of states at the Fermi level is 1.6 states/eV/f.u. As for the total energy: -4.710 eV per atom. The size of the total moment is 0.00 μB per cell. Its uncorrected formation energy is -0.4386 eV/atom.